Entry 1:
KNiC, relaxed, DFT PBE; SG = Pnma; spin magnetization = 0.00 μB per cell; D(E_F) = 6.6 states/eV/cell; energy of formation from the pure elements = 0.7043 eV/atom
1.0
10.986 0.000 0.000
0.000 2.645 0.000
0.000 0.000 6.149
K Ni C
4 4 4
direct
0.244 0.250 0.048 K
0.256 0.750 0.548 K
0.744 0.250 0.452 K
0.756 0.750 0.952 K
0.001 0.250 0.679 Ni
0.499 0.750 0.179 Ni
0.501 0.250 0.821 Ni
0.999 0.750 0.321 Ni
0.012 0.750 0.954 C
0.488 0.250 0.454 C
0.512 0.750 0.546 C
0.988 0.250 0.046 C



Entry 2:
Pt2RhBr, relaxed, DFT PBE; ΔE to the lowest computed polymorph = 0.0091 eV per atom; SG = R3m; energy relative to the elements, uncorrected = 395 meV/atom; spin magnetization = 0.00 μB per cell; D(E_F) = 6.4 states/eV/cell
1.0
1.489 0.860 8.701
-1.489 0.860 8.701
0.000 -1.719 8.701
Pt Rh Br
2 1 1
direct
0.000 0.000 0.000 Pt
0.249 0.249 0.249 Pt
0.503 0.503 0.503 Rh
0.760 0.760 0.760 Br



Entry 3:
Cd5Bi4Pb2, relaxed, DFT PBE; SG = C2/m; spin magnetization = 0.00 μB per cell; D(E_F) = 4.9 states/eV/cell; energy of formation from the pure elements = 0.0781 eV/atom
1.0
7.463 -3.078 0.000
7.463 3.078 0.000
-2.490 0.000 7.194
Cd Bi Pb
5 4 2
direct
0.000 0.000 0.000 Cd
0.118 0.653 0.388 Cd
0.347 0.882 0.612 Cd
0.653 0.118 0.388 Cd
0.882 0.347 0.612 Cd
0.193 0.193 0.282 Bi
0.475 0.475 0.760 Bi
0.525 0.525 0.240 Bi
0.807 0.807 0.718 Bi
0.291 0.291 0.930 Pb
0.709 0.709 0.070 Pb



Entry 4:
NbVIr3, relaxed, DFT PBE; ΔE to the lowest computed polymorph = 0.0000 eV per atom; SG = C2/m; spin magnetization = 0.00 μB per cell; D(E_F) = 9.0 states/eV/cell; energy of formation from the pure elements = -0.4272 eV/atom
1.0
4.415 -1.943 0.000
4.415 1.943 0.000
-0.298 0.000 8.763
Nb V Ir
2 2 6
direct
0.148 0.148 0.066 Nb
0.852 0.852 0.934 Nb
0.358 0.358 0.444 V
0.642 0.642 0.556 V
0.055 0.055 0.360 Ir
0.243 0.243 0.732 Ir
0.450 0.450 0.152 Ir
0.550 0.550 0.848 Ir
0.757 0.757 0.268 Ir
0.945 0.945 0.640 Ir



Entry 5:
BiPdPbAu, relaxed, DFT PBE; ΔE to the lowest computed polymorph = 0.0241 eV per atom; SG = F-43m; spin magnetization = 0.00 μB per cell; D(E_F) = 1.5 states/eV/cell; energy of formation from the pure elements = -0.0912 eV/atom
1.0
0.000 3.576 3.576
3.576 0.000 3.576
3.576 3.576 0.000
Bi Pd Pb Au
1 1 1 1
direct
0.000 0.000 0.000 Bi
0.750 0.750 0.750 Pd
0.500 0.500 0.500 Pb
0.250 0.250 0.250 Au



Entry 6:
Ba3HoPu2O9, relaxed, DFT PBE; SG = P-3m1; energy relative to the elements, uncorrected = -3037 meV/atom; spin magnetization = 7.00 μB per cell; D(E_F) = 8.8 states/eV/cell
1.0
6.197 0.000 0.000
-3.099 5.367 0.000
0.000 0.000 7.598
Ba Ho Pu O
3 1 2 9
direct
0.000 0.000 0.000 Ba
0.333 0.667 0.658 Ba
0.667 0.333 0.342 Ba
0.000 0.000 0.500 Ho
0.333 0.667 0.167 Pu
0.667 0.333 0.833 Pu
0.000 0.500 0.000 O
0.170 0.340 0.330 O
0.170 0.830 0.330 O
0.340 0.170 0.670 O
0.500 0.000 0.000 O
0.500 0.500 0.000 O
0.660 0.830 0.330 O
0.830 0.170 0.670 O
0.830 0.660 0.670 O



Entry 7:
Er2Al4CdAu3, relaxed, DFT PBE; SG = P-4m2; spin magnetization = 0.00 μB per cell; D(E_F) = 5.6 states/eV/cell; energy of formation from the pure elements = -0.5815 eV/atom
1.0
4.250 0.000 0.000
0.000 4.250 0.000
0.000 0.000 11.072
Er Al Cd Au
2 4 1 3
direct
0.000 0.500 0.246 Er
0.500 0.000 0.754 Er
0.000 0.000 0.000 Al
0.000 0.500 0.645 Al
0.500 0.000 0.355 Al
0.500 0.500 0.000 Al
0.000 0.000 0.500 Cd
0.000 0.500 0.867 Au
0.500 0.000 0.133 Au
0.500 0.500 0.500 Au



Entry 8:
KCa2TlNi, relaxed, DFT PBE; SG = P4/mmm; spin magnetization = 0.00 μB per cell; D(E_F) = 3.5 states/eV/cell; energy of formation from the pure elements = -0.0447 eV/atom
1.0
5.595 0.000 0.000
0.000 5.595 0.000
0.000 0.000 5.184
K Ca Tl Ni
1 2 1 1
direct
0.000 0.000 0.000 K
0.000 0.500 0.500 Ca
0.500 0.000 0.500 Ca
0.500 0.500 0.000 Tl
0.500 0.500 0.500 Ni



- Which value of spin magnetization does entry 2 give?
  0.00 μB per cell